The following is a DFT calculation (PBE) of an optimized crystal structure of LiCeBiPd.

## Properties
* magnetization: 1.164 μB/cell
* calculated volume: 21.7 Å³/atom
* D(E_F): 7.28 states/eV/cell
* ΔH_f (0 K): -0.547 eV per atom

abc: 4.9696 4.9696 4.9696
angles: 60.00 60.00 60.00
With the nearest neighbours (Å) after each atom.
Element x y z (fractional)
Bi 0.2500 0.2500 0.2500  4 Li 3.04, 4 Pd 3.04
Ce 0.7500 0.7500 0.7500  4 Li 3.04, 4 Pd 3.04
Pd 0.5000 0.5000 0.5000  4 Bi 3.04, 4 Ce 3.04
Li 0.0000 0.0000 0.0000  4 Ce 3.04, 4 Bi 3.04